# Sc5Te3 | Alexandria | SCAN | single point on PBEsol structure
data_Sc5Te3
_chemical_formula_sum 'Sc10 Te6'
_cell_length_a 5.7059
_cell_length_b 8.4130
_cell_length_c 8.4130
_cell_angle_alpha 120.00
_cell_angle_beta 90.00
_cell_angle_gamma 90.00
_symmetry_space_group_name_H-M 'P 1'
_symmetry_Int_Tables_number 1
_symmetry_space_group_name_Hall 'P 1'
loop_
_atom_site_label
_atom_site_fract_x
_atom_site_fract_y
_atom_site_fract_z
Sc1 0.0000 0.6667 0.3333
Sc2 0.5000 0.3333 0.6667
Sc3 0.0000 0.3333 0.6667
Sc4 0.5000 0.6667 0.3333
Sc5 0.7500 0.7439 0.7439
Sc6 0.2500 0.2561 0.2561
Sc7 0.7500 0.0000 0.2561
Sc8 0.7500 0.2561 0.0000
Sc9 0.2500 0.7439 0.0000
Sc10 0.2500 0.0000 0.7439
Te1 0.7500 0.3828 0.3828
Te2 0.2500 0.6172 0.6172
Te3 0.7500 0.0000 0.6172
Te4 0.7500 0.6172 0.0000
Te5 0.2500 0.3828 0.0000
Te6 0.2500 0.0000 0.3828
# D(E_F) in states/eV/f.u.: 4.42
# Calculated volume in A^3/atom: 21.86
# Raw formation energy in eV/atom: -0.898